Density functional theory data (GGA-PBE) for a relaxed AcErAl2Au2 crystal.

Cell lengths 4.605, 4.605, 7.739 Å; angles 90.00, 90.00, 120.00 degrees
Atoms (fractional coordinates):
Ac 0.000 0.000 0.000
Er 0.000 0.000 0.500
Al 0.667 0.333 0.298
Al 0.333 0.667 0.702
Au 0.667 0.333 0.703
Au 0.333 0.667 0.297

Output
DFT formation energy (meV per atom): -732
DFT total energy (eV per cell): -27.102
Space group: No. 164